Record 1
ZrTiOs after structural relaxation, computed with PBE.

Lattice parameters (Å, degrees): 4.422 4.422 4.427 90.05 119.97 119.93
Sites, in units of the cell vectors:
Zr1 0.944 0.972 0.917
Ti1 0.945 0.472 0.417
Os1 0.444 0.222 0.666

Summary:
space-group type = R3m, No. 160
formation energy from the elements = -0.412 eV/f.u.
DOS at the Fermi energy = 4.06 states/eV/f.u.


Record 2
ZrTi2Os after structural relaxation, computed with PBE.

Lattice parameters (Å, degrees): 7.386 7.386 5.921 51.41 51.41 90.00
Sites, in units of the cell vectors:
Os1 0.000 0.000 0.000
Os2 0.750 0.250 0.500
Zr1 0.500 0.500 0.000
Zr2 0.250 0.750 0.500
Ti1 0.674 0.125 0.250
Ti2 0.076 0.625 0.250
Ti3 0.375 0.326 0.750
Ti4 0.875 0.924 0.750

Summary:
space-group type = I-42d, No. 122
formation energy from the elements = 0.334 eV/f.u.
DOS at the Fermi energy = 2.82 states/eV/f.u.


Record 3
Zr3TiOs after structural relaxation, computed with PBE.

Lattice parameters (Å, degrees): 4.777 4.777 4.777 90.00 90.00 90.00
Sites, in units of the cell vectors:
Os1 0.500 0.500 0.500
Zr1 0.000 0.500 0.000
Zr2 0.000 0.000 0.500
Zr3 0.500 0.000 0.000
Ti1 0.000 0.000 0.000

Summary:
space-group type = Pm-3m, No. 221
formation energy from the elements = 5.837 eV/f.u.
DOS at the Fermi energy = 4.34 states/eV/f.u.


Record 4
ZrTiOs after structural relaxation, computed with PBE.

Lattice parameters (Å, degrees): 3.109 3.109 11.700 97.64 97.64 90.00
Sites, in units of the cell vectors:
Ti1 0.289 0.289 0.578
Ti2 0.711 0.711 0.422
Os1 0.147 0.147 0.293
Os2 0.853 0.853 0.707
Zr1 0.571 0.571 0.142
Zr2 0.429 0.429 0.858

Summary:
space-group type = I4/mmm, No. 139
formation energy from the elements = -0.849 eV/f.u.
DOS at the Fermi energy = 2.27 states/eV/f.u.


Record 5
TlOs after structural relaxation, computed with PBE.

Lattice parameters (Å, degrees): 3.552 3.552 7.800 90.00 90.00 90.00
Sites, in units of the cell vectors:
Os1 0.250 0.750 0.000
Os2 0.750 0.250 0.000
Tl1 0.250 0.250 0.326
Tl2 0.750 0.750 0.674

Summary:
space-group type = P4/nmm, No. 129
formation energy from the elements = 1.776 eV/f.u.
DOS at the Fermi energy = 2.10 states/eV/f.u.


Record 6
TlOs after structural relaxation, computed with PBE.

Lattice parameters (Å, degrees): 3.710 8.519 8.495 90.00 90.00 90.00
Sites, in units of the cell vectors:
Tl1 0.000 0.309 0.739
Tl2 0.000 0.691 0.739
Tl3 0.000 0.809 0.239
Tl4 0.000 0.191 0.239
Tl5 0.500 0.000 0.921
Tl6 0.500 0.500 0.421
Os1 0.500 0.830 0.507
Os2 0.500 0.170 0.507
Os3 0.500 0.330 0.007
Os4 0.500 0.670 0.007
Os5 0.000 0.000 0.589
Os6 0.000 0.500 0.089

Summary:
space-group type = Amm2, No. 38
formation energy from the elements = 1.861 eV/f.u.
DOS at the Fermi energy = 1.29 states/eV/f.u.


Record 7
Tl3Os after structural relaxation, computed with PBE.

Lattice parameters (Å, degrees): 7.522 7.522 4.080 90.00 90.00 101.86
Sites, in units of the cell vectors:
Tl1 0.124 0.876 0.250
Tl2 0.580 0.853 0.250
Tl3 0.147 0.420 0.250
Tl4 0.876 0.124 0.750
Tl5 0.420 0.147 0.750
Tl6 0.853 0.580 0.750
Os1 0.551 0.449 0.250
Os2 0.449 0.551 0.750

Summary:
space-group type = Cmcm, No. 63
formation energy from the elements = 2.216 eV/f.u.
DOS at the Fermi energy = 2.60 states/eV/f.u.


Record 8
Tl2Os after structural relaxation, computed with PBE.

Lattice parameters (Å, degrees): 3.158 9.060 10.259 90.00 90.00 90.00
Sites, in units of the cell vectors:
Tl1 0.250 0.000 0.750
Tl2 0.750 0.500 0.250
Tl3 0.250 0.500 0.750
Tl4 0.750 0.000 0.250
Tl5 0.250 0.250 0.488
Tl6 0.750 0.250 0.988
Tl7 0.250 0.750 0.012
Tl8 0.750 0.750 0.512
Os1 0.250 0.750 0.282
Os2 0.750 0.750 0.782
Os3 0.250 0.250 0.218
Os4 0.750 0.250 0.718

Summary:
space-group type = Cmcm, No. 63
formation energy from the elements = 2.164 eV/f.u.
DOS at the Fermi energy = 2.79 states/eV/f.u.


Number 1: raw total energy -9.361 eV per atom. Number 2: raw total energy -8.808 eV per atom. Number 3: raw total energy -7.786 eV per atom. Number 4: raw total energy -9.507 eV per atom. Number 5: raw total energy -5.910 eV per atom. Number 6: raw total energy -5.868 eV per atom. Number 7: raw total energy -4.028 eV per atom. Number 8: raw total energy -4.599 eV per atom.